4
Lattice="-2.482 3.339 -1.651 -4.365 0.231 0.962 -1.525 3.211 2.720" Properties=species:S:1:pos:R:3 comment="Cr2MoPb GGA-PBEsol relaxed" e_form_ev_per_atom=0.716 e_tot_ev_per_fu=-33.4 spacegroup="F-43m (216)" pbc="T T T"
Cr 0.000 0.000 0.000
Cr -6.280 5.086 1.523
Pb -2.093 1.695 0.508
Mo -4.186 3.391 1.016